# 1
Al2V2Si | PBE | optimized geometry

```
Al2V2Si
1.0
-5.033 1.228 -1.649
2.022 -5.019 -0.518
-1.036 0.040 6.688
V Al Si
4 4 2
Direct
0.805 0.695 0.250 V
0.195 0.305 0.750 V
0.690 0.810 0.750 V
0.310 0.190 0.250 V
0.399 0.766 0.061 Al
0.601 0.234 0.939 Al
0.266 0.899 0.561 Al
0.734 0.101 0.439 Al
0.060 0.440 0.250 Si
0.940 0.560 0.750 Si
```

Computed properties:
* symmetry: C2/c
* raw total energy: -5.839 eV/atom
* crystal system: monoclinic
* mass density: 3.8 g cm⁻³

# 2
AlV2Si | PBE | optimized geometry

```
AlV2Si
1.0
3.675 0.000 0.000
0.000 3.675 0.000
0.000 0.000 8.027
Si V Al
2 4 2
Direct
0.000 0.000 0.000 Si
0.500 0.500 0.500 Si
0.500 0.500 0.000 V
0.000 0.500 0.750 V
0.500 0.000 0.250 V
0.000 0.000 0.500 V
0.000 0.500 0.250 Al
0.500 0.000 0.750 Al
```

Computed properties:
* symmetry: I-4m2
* raw total energy: -7.139 eV/atom
* crystal system: tetragonal
* mass density: 4.8 g cm⁻³